# 1
# P2OsSN PBE relaxed
data_P2OsSN
_chemical_formula_sum 'P4 Os2 S2 N2'
_cell_length_a 10.4069
_cell_length_b 2.7811
_cell_length_c 5.9139
_cell_angle_alpha 90.00
_cell_angle_beta 122.59
_cell_angle_gamma 90.00
_space_group_name_H-M_alt 'C 1 m 1'
_space_group_IT_number 8
_space_group_name_Hall 'C -2y'
loop_
_atom_site_label
_atom_site_type_symbol
_atom_site_fract_x
_atom_site_fract_y
_atom_site_fract_z
P1 P 0.0000 0.0000 0.0000
P2 P 0.1249 0.0000 0.7345
Os1 Os 0.2616 0.5000 0.6195
S1 S 0.3899 0.5000 0.3975
N1 N 0.0699 0.5000 0.1924
# Energy relative to the elements, uncorrected (kcal/mol of atoms): 0.5
# Relative energy among the computed polymorphs (meV/atom): 15

=====

# 2
# P2OsSN PBE relaxed
data_P2OsSN
_chemical_formula_sum 'P4 Os2 S2 N2'
_cell_length_a 6.7317
_cell_length_b 5.5691
_cell_length_c 4.9862
_cell_angle_alpha 90.00
_cell_angle_beta 125.38
_cell_angle_gamma 90.00
_space_group_name_H-M_alt 'C 1 m 1'
_space_group_IT_number 8
_space_group_name_Hall 'C -2y'
loop_
_atom_site_label
_atom_site_type_symbol
_atom_site_fract_x
_atom_site_fract_y
_atom_site_fract_z
P1 P 0.0000 0.2396 0.0000
Os1 Os 0.1423 0.0000 0.7427
S1 S 0.2121 0.5000 0.3839
N1 N 0.0652 0.0000 0.2586
# Energy relative to the elements, uncorrected (kcal/mol of atoms): 4.7
# Relative energy among the computed polymorphs (meV/atom): 197

=====

# 3
# P2OsSN PBE relaxed
data_P2OsSN
_chemical_formula_sum 'P2 Os1 S1 N1'
_cell_length_a 3.8856
_cell_length_b 3.8856
_cell_length_c 4.0629
_cell_angle_alpha 90.00
_cell_angle_beta 90.00
_cell_angle_gamma 90.00
_space_group_name_H-M_alt 'P 4/m m m'
_space_group_IT_number 123
_space_group_name_Hall '-P 4 2'
loop_
_atom_site_label
_atom_site_type_symbol
_atom_site_fract_x
_atom_site_fract_y
_atom_site_fract_z
P1 P 0.0000 0.5000 0.0000
Os1 Os 0.0000 0.0000 0.5000
S1 S 0.5000 0.5000 0.5000
N1 N 0.5000 0.5000 0.0000
# Energy relative to the elements, uncorrected (kcal/mol of atoms): 25.0
# Relative energy among the computed polymorphs (meV/atom): 1079

=====

# 4
# POsS2N PBE relaxed
data_POsS2N
_chemical_formula_sum 'P1 Os1 S2 N1'
_cell_length_a 4.5950
_cell_length_b 4.5950
_cell_length_c 3.1185
_cell_angle_alpha 90.00
_cell_angle_beta 90.00
_cell_angle_gamma 90.00
_space_group_name_H-M_alt 'P 4/m m m'
_space_group_IT_number 123
_space_group_name_Hall '-P 4 2'
loop_
_atom_site_label
_atom_site_type_symbol
_atom_site_fract_x
_atom_site_fract_y
_atom_site_fract_z
P1 P 0.0000 0.0000 0.0000
Os1 Os 0.5000 0.5000 0.5000
S1 S 0.0000 0.5000 0.0000
N1 N 0.0000 0.0000 0.5000
# Energy relative to the elements, uncorrected (kcal/mol of atoms): 23.4
# Relative energy among the computed polymorphs (meV/atom): 230

=====

# 5
# POsSN2 PBE relaxed
data_POsSN2
_chemical_formula_sum 'P1 Os1 S1 N2'
_cell_length_a 3.7561
_cell_length_b 3.7561
_cell_length_c 5.2441
_cell_angle_alpha 90.00
_cell_angle_beta 90.00
_cell_angle_gamma 90.00
_space_group_name_H-M_alt 'P 4/m m m'
_space_group_IT_number 123
_space_group_name_Hall '-P 4 2'
loop_
_atom_site_label
_atom_site_type_symbol
_atom_site_fract_x
_atom_site_fract_y
_atom_site_fract_z
P1 P 0.0000 0.0000 0.0000
Os1 Os 0.5000 0.5000 0.5000
S1 S 0.5000 0.5000 0.0000
N1 N 0.0000 0.5000 0.5000
# Energy relative to the elements, uncorrected (kcal/mol of atoms): 22.3
# Relative energy among the computed polymorphs (meV/atom): 0

=====

# 6
# P2OsSN PBE relaxed
data_P2OsSN
_chemical_formula_sum 'P2 Os1 S1 N1'
_cell_length_a 4.1069
_cell_length_b 4.1981
_cell_length_c 4.5100
_cell_angle_alpha 89.98
_cell_angle_beta 89.55
_cell_angle_gamma 70.05
_space_group_name_H-M_alt 'P 1'
_space_group_IT_number 1
_space_group_name_Hall 'P 1'
loop_
_atom_site_label
_atom_site_type_symbol
_atom_site_fract_x
_atom_site_fract_y
_atom_site_fract_z
P1 P 0.0000 0.0000 0.0000
P2 P 0.3547 0.0671 0.6358
Os1 Os 0.1673 0.6432 0.4118
S1 S 0.7148 0.4709 0.1849
N1 N 0.7784 0.9014 0.7216
# Energy relative to the elements, uncorrected (kcal/mol of atoms): 0.7
# Relative energy among the computed polymorphs (meV/atom): 24

=====

# 7
# P2OsSN PBE relaxed
data_P2OsSN
_chemical_formula_sum 'P4 Os2 S2 N2'
_cell_length_a 10.5627
_cell_length_b 2.9040
_cell_length_c 5.1405
_cell_angle_alpha 90.00
_cell_angle_beta 117.47
_cell_angle_gamma 90.00
_space_group_name_H-M_alt 'C 1 m 1'
_space_group_IT_number 8
_space_group_name_Hall 'C -2y'
loop_
_atom_site_label
_atom_site_type_symbol
_atom_site_fract_x
_atom_site_fract_y
_atom_site_fract_z
P1 P 0.0000 0.0000 0.0000
P2 P 0.1890 0.0000 0.4914
Os1 Os 0.4245 0.0000 0.5917
S1 S 0.3480 0.5000 0.1656
N1 N 0.1277 0.5000 0.5761
# Energy relative to the elements, uncorrected (kcal/mol of atoms): 0.3
# Relative energy among the computed polymorphs (meV/atom): 6

=====

# 8
# POsSe2N PBE relaxed
data_POsSe2N
_chemical_formula_sum 'P1 Os1 Se2 N1'
_cell_length_a 4.8742
_cell_length_b 4.8742
_cell_length_c 3.1594
_cell_angle_alpha 90.00
_cell_angle_beta 90.00
_cell_angle_gamma 90.00
_space_group_name_H-M_alt 'P 4/m m m'
_space_group_IT_number 123
_space_group_name_Hall '-P 4 2'
loop_
_atom_site_label
_atom_site_type_symbol
_atom_site_fract_x
_atom_site_fract_y
_atom_site_fract_z
P1 P 0.0000 0.0000 0.0000
Os1 Os 0.5000 0.5000 0.5000
Se1 Se 0.0000 0.5000 0.0000
N1 N 0.0000 0.0000 0.5000
# Energy relative to the elements, uncorrected (kcal/mol of atoms): 23.1
# Relative energy among the computed polymorphs (meV/atom): 290

=====

# 9
# POsSe2N PBE relaxed
data_POsSe2N
_chemical_formula_sum 'P1 Os1 Se2 N1'
_cell_length_a 5.0344
_cell_length_b 5.0344
_cell_length_c 3.6738
_cell_angle_alpha 90.00
_cell_angle_beta 90.00
_cell_angle_gamma 90.00
_space_group_name_H-M_alt 'P 4/m m m'
_space_group_IT_number 123
_space_group_name_Hall '-P 4 2'
loop_
_atom_site_label
_atom_site_type_symbol
_atom_site_fract_x
_atom_site_fract_y
_atom_site_fract_z
P1 P 0.0000 0.0000 0.0000
Os1 Os 0.5000 0.5000 0.5000
Se1 Se 0.0000 0.5000 0.5000
N1 N 0.5000 0.5000 0.0000
# Energy relative to the elements, uncorrected (kcal/mol of atoms): 16.5
# Relative energy among the computed polymorphs (meV/atom): 0

=====

# 10
# TePOsN2 PBE relaxed
data_TePOsN2
_chemical_formula_sum 'Te1 P1 Os1 N2'
_cell_length_a 3.5204
_cell_length_b 3.5204
_cell_length_c 8.4972
_cell_angle_alpha 90.00
_cell_angle_beta 90.00
_cell_angle_gamma 90.00
_space_group_name_H-M_alt 'P 4/m m m'
_space_group_IT_number 123
_space_group_name_Hall '-P 4 2'
loop_
_atom_site_label
_atom_site_type_symbol
_atom_site_fract_x
_atom_site_fract_y
_atom_site_fract_z
Te1 Te 0.0000 0.0000 0.0000
P1 P 0.0000 0.0000 0.5000
Os1 Os 0.5000 0.5000 0.0000
N1 N 0.0000 0.5000 0.5000
# Energy relative to the elements, uncorrected (kcal/mol of atoms): 36.5
# Relative energy among the computed polymorphs (meV/atom): 736

=====

# 11
# TePOsN2 PBE relaxed
data_TePOsN2
_chemical_formula_sum 'Te1 P1 Os1 N2'
_cell_length_a 3.7908
_cell_length_b 3.7908
_cell_length_c 6.0055
_cell_angle_alpha 90.00
_cell_angle_beta 90.00
_cell_angle_gamma 90.00
_space_group_name_H-M_alt 'P 4/m m m'
_space_group_IT_number 123
_space_group_name_Hall '-P 4 2'
loop_
_atom_site_label
_atom_site_type_symbol
_atom_site_fract_x
_atom_site_fract_y
_atom_site_fract_z
Te1 Te 0.0000 0.0000 0.0000
P1 P 0.5000 0.5000 0.0000
Os1 Os 0.0000 0.0000 0.5000
N1 N 0.0000 0.5000 0.5000
# Energy relative to the elements, uncorrected (kcal/mol of atoms): 19.5
# Relative energy among the computed polymorphs (meV/atom): 0

=====

# 12
# Te2POsN PBE relaxed
data_Te2POsN
_chemical_formula_sum 'Te2 P1 Os1 N1'
_cell_length_a 5.2070
_cell_length_b 5.2070
_cell_length_c 3.2371
_cell_angle_alpha 90.00
_cell_angle_beta 90.00
_cell_angle_gamma 90.00
_space_group_name_H-M_alt 'P 4/m m m'
_space_group_IT_number 123
_space_group_name_Hall '-P 4 2'
loop_
_atom_site_label
_atom_site_type_symbol
_atom_site_fract_x
_atom_site_fract_y
_atom_site_fract_z
Te1 Te 0.0000 0.5000 0.0000
P1 P 0.0000 0.0000 0.0000
Os1 Os 0.5000 0.5000 0.5000
N1 N 0.0000 0.0000 0.5000
# Energy relative to the elements, uncorrected (kcal/mol of atoms): 22.8
# Relative energy among the computed polymorphs (meV/atom): 364

=====

no.,magnetization (μB per cell),volume (Å³/atom)
1,0.00,14.42
2,0.00,15.24
3,0.00,12.27
4,0.00,13.17
5,0.81,14.80
6,0.00,14.62
7,0.00,13.99
8,0.00,15.01
9,0.00,18.62
10,0.82,21.06
11,0.00,17.26
12,0.00,17.55